First-principles (GGA-PBE) data for a relaxed LaScAl4 crystal, as listed in Alexandria.

Calculated values
Space-group type = F-43m (216)
E_form = -0.439 eV per atom
Magnetization = 0.000 μB/f.u.

Cell lengths 5.5819, 5.5819, 5.5819 Å; angles 60.00, 60.00, 60.00 degrees
Closest atoms and distances in Å follow each position.
Sites, in units of the cell vectors:
La: 0.0000 0.0000 0.0000  12 Al 3.27, 4 Sc 3.42
Sc: 0.7500 0.7500 0.7500  12 Al 3.27, 4 La 3.42
Al: 0.3752 0.3752 0.3752  6 Al 2.79-2.80
Al: 0.3752 0.3752 0.8743  6 Al 2.79-2.80
Al: 0.3752 0.8743 0.3752  6 Al 2.79-2.80
Al: 0.8743 0.3752 0.3752  6 Al 2.79-2.80

=====

First-principles (GGA-PBE) data for a relaxed Fe4Ni15Mo crystal, as listed in Alexandria.

Calculated values
Space-group type = P4/mmm (123)
E_form = -0.067 eV per atom
Magnetization = 19.552 μB/f.u.

Cell lengths 3.5665, 3.5665, 17.7814 Å; angles 90.00, 90.00, 90.00 degrees
Closest atoms and distances in Å follow each position.
Sites, in units of the cell vectors:
Fe: 0.0000 0.0000 0.0985  12 Ni 2.50-2.52
Fe: 0.0000 0.0000 0.2948  12 Ni 2.48-2.55
Fe: 0.0000 0.0000 0.7052  12 Ni 2.48-2.55
Fe: 0.0000 0.0000 0.9015  12 Ni 2.50-2.52
Ni: 0.0000 0.5000 0.0000  4 Fe 2.50, 8 Ni 2.51-2.52
Ni: 0.0000 0.5000 0.1980  4 Fe 2.48-2.51, 8 Ni 2.51-2.52
Ni: 0.0000 0.5000 0.3973  8 Ni 2.52-2.55, 2 Fe 2.55, 2 Mo 2.55
Ni: 0.0000 0.5000 0.6027  8 Ni 2.52-2.55, 2 Fe 2.55, 2 Mo 2.55
Ni: 0.0000 0.5000 0.8020  4 Fe 2.48-2.51, 8 Ni 2.51-2.52
Ni: 0.5000 0.0000 0.0000  4 Fe 2.50, 8 Ni 2.51-2.52
Ni: 0.5000 0.0000 0.1980  4 Fe 2.48-2.51, 8 Ni 2.51-2.52
Ni: 0.5000 0.0000 0.3973  8 Ni 2.52-2.55, 2 Fe 2.55, 2 Mo 2.55
Ni: 0.5000 0.0000 0.6027  8 Ni 2.52-2.55, 2 Fe 2.55, 2 Mo 2.55
Ni: 0.5000 0.0000 0.8020  4 Fe 2.48-2.51, 8 Ni 2.51-2.52
Ni: 0.5000 0.5000 0.0990  8 Ni 2.51, 4 Fe 2.52
Ni: 0.5000 0.5000 0.2975  8 Ni 2.51-2.52, 4 Fe 2.52
Ni: 0.5000 0.5000 0.5000  4 Mo 2.52, 8 Ni 2.55
Ni: 0.5000 0.5000 0.7025  8 Ni 2.51-2.52, 4 Fe 2.52
Ni: 0.5000 0.5000 0.9010  8 Ni 2.51, 4 Fe 2.52
Mo: 0.0000 0.0000 0.5000  12 Ni 2.52-2.55

=====

First-principles (GGA-PBE) data for a relaxed NaGdTh crystal, as listed in Alexandria.

Calculated values
Space-group type = P3m1 (156)
E_form = 0.168 eV per atom
Magnetization = 7.123 μB/f.u.

Cell lengths 3.5387, 3.5387, 9.2990 Å; angles 90.00, 90.00, 120.00 degrees
Closest atoms and distances in Å follow each position.
Sites, in units of the cell vectors:
Na: 0.0000 0.0000 0.0000  6 Na 3.54, 3 Gd 3.82, 3 Th 3.85
Gd: 0.3333 0.6667 0.6531  3 Th 3.47, 6 Gd 3.54, 3 Na 3.82
Th: 0.6667 0.3333 0.3512  3 Gd 3.47, 6 Th 3.54, 3 Na 3.85

=====

First-principles (GGA-PBE) data for a relaxed KCaSi2 crystal, as listed in Alexandria.

Calculated values
Space-group type = I-4m2 (119)
Excess energy over the best structure of this formula in the dataset = 0.5253 eV per atom
Energy relative to the elements, uncorrected = 356 meV/atom
Magnetization = 0.000 μB/f.u.

Cell lengths 4.6676, 4.6676, 9.2082 Å; angles 90.00, 90.00, 90.00 degrees
Closest atoms and distances in Å follow each position.
Sites, in units of the cell vectors:
K: 0.0000 0.0000 0.0000  4 Ca 3.28, 8 Si 3.28-3.30
K: 0.5000 0.5000 0.5000  4 Ca 3.28, 8 Si 3.28-3.30
Ca: 0.0000 0.5000 0.2500  4 K 3.28, 8 Si 3.28-3.30
Ca: 0.5000 0.0000 0.7500  4 K 3.28, 8 Si 3.28-3.30
Si: 0.0000 0.0000 0.5000  4 Ca 3.28, 4 Si 3.28, 4 K 3.30
Si: 0.0000 0.5000 0.7500  4 K 3.28, 4 Si 3.28, 4 Ca 3.30
Si: 0.5000 0.0000 0.2500  4 K 3.28, 4 Si 3.28, 4 Ca 3.30
Si: 0.5000 0.5000 0.0000  4 Ca 3.28, 4 Si 3.28, 4 K 3.30

=====

First-principles (GGA-PBE) data for a relaxed LaAg3P crystal, as listed in Alexandria.

Calculated values
Space-group type = Pm-3m (221)
Excess energy over the best structure of this formula in the dataset = 1.3672 eV per atom
E_form = 1.424 eV per atom
Magnetization = 0.000 μB/f.u.

Cell lengths 5.5482, 5.5482, 5.5482 Å; angles 90.00, 90.00, 90.00 degrees
Closest atoms and distances in Å follow each position.
Sites, in units of the cell vectors:
La: 0.0000 0.0000 0.0000  6 Ag 2.77
Ag: 0.0000 0.0000 0.5000  2 La 2.77
Ag: 0.0000 0.5000 0.0000  2 La 2.77
Ag: 0.5000 0.0000 0.0000  2 La 2.77
P: 0.5000 0.5000 0.5000  12 Ag 3.92

=====

First-principles (GGA-PBE) data for a relaxed Mn2ReNi crystal, as listed in Alexandria.

Calculated values
Space-group type = I-4m2 (119)
E_form = 0.029 eV per atom
Magnetization = 1.092 μB/f.u.

Cell lengths 3.6625, 3.6625, 7.1850 Å; angles 90.00, 90.00, 90.00 degrees
Closest atoms and distances in Å follow each position.
Sites, in units of the cell vectors:
Mn: 0.0000 0.0000 0.0000  4 Mn 2.57, 4 Re 2.57, 4 Ni 2.59
Mn: 0.0000 0.5000 0.2500  4 Mn 2.57, 4 Ni 2.57, 4 Re 2.59
Mn: 0.5000 0.0000 0.7500  4 Mn 2.57, 4 Ni 2.57, 4 Re 2.59
Mn: 0.5000 0.5000 0.5000  4 Mn 2.57, 4 Re 2.57, 4 Ni 2.59
Re: 0.0000 0.5000 0.7500  8 Mn 2.57-2.59, 4 Ni 2.57
Re: 0.5000 0.0000 0.2500  8 Mn 2.57-2.59, 4 Ni 2.57
Ni: 0.0000 0.0000 0.5000  8 Mn 2.57-2.59, 4 Re 2.57
Ni: 0.5000 0.5000 0.0000  8 Mn 2.57-2.59, 4 Re 2.57